Material: Ac4N2Cl5
Method: DFT, PBE
State: optimized geometry

a = 4.0148 Å, b = 7.7537 Å, c = 11.7095 Å
α = 120.53°, β = 99.87°, γ = 90.00°
Closest atoms and distances in Å follow each position.
Sites, in units of the cell vectors:
1 Ac 0.6333 0.9261 0.2666  2 N 2.56
2 Ac 0.3667 0.0739 0.7334  2 N 2.56
3 Ac 0.0549 0.3926 0.1098  2 N 2.38-2.46
4 Ac 0.9451 0.6074 0.8902  2 N 2.38-2.46
5 Cl 0.7926 0.2172 0.5853  1 N 3.12, 4 Ac 3.17-3.25
6 Cl 0.5000 0.0000 0.0000  6 Ac 3.31-3.41
7 Cl 0.8401 0.7474 0.6801  3 Ac 3.04-3.13
8 Cl 0.1599 0.2526 0.3199  3 Ac 3.04-3.13
9 Cl 0.2074 0.7828 0.4147  1 N 3.12, 4 Ac 3.17-3.25
10 N 0.0627 0.7208 0.1254  4 Ac 2.38-2.56
11 N 0.9373 0.2792 0.8746  4 Ac 2.38-2.56

As for the crystal system: monoclinic. The value obtained for the raw total energy is -63.50 eV for the cell shown.

---

Material: NiPb2W
Method: DFT, PBE
State: optimized geometry

a = 4.9245 Å, b = 4.9245 Å, c = 4.9245 Å
α = 60.00°, β = 60.00°, γ = 60.00°
Closest atoms and distances in Å follow each position.
Sites, in units of the cell vectors:
1 Pb 0.0000 0.0000 0.0000  4 Pb 3.02, 4 W 3.02
2 Pb 0.7500 0.7500 0.7500  4 Pb 3.02, 4 Ni 3.02
3 Ni 0.5000 0.5000 0.5000  4 Pb 3.02, 4 W 3.02
4 W 0.2500 0.2500 0.2500  4 Pb 3.02, 4 Ni 3.02

As for the crystal system: cubic. Its formation energy from the elements is 4.7 eV per formula unit. As for the energy above the most stable polymorph in this dataset: 783 meV per atom.